Here is a relaxed TaMoIO2 crystal from the Alexandria database. Energies are from PBE+U.

Computed properties:
As for the space group: P4/mmm (123). For the total energy, the calculation gives -6.905 eV/atom. For the total moment, the calculation gives 0.960 μB/atom. The calculation puts the density of states at the Fermi level at 0.334 states/eV per atom. The volume comes out at 19.9 A^3/atom.

a = 4.0431 Å, b = 4.0431 Å, c = 6.0915 Å
α = 90.00°, β = 90.00°, γ = 90.00°
Sites, in units of the cell vectors:
I1 0.0000 0.0000 0.5000
Mo1 0.5000 0.5000 0.5000
O1 0.0000 0.5000 0.0000
O2 0.5000 0.0000 0.0000
Ta1 0.0000 0.0000 0.0000